Tm4Hg2Ir | GGA-PBE | relaxed

Lattice parameters (Å, degrees): 7.839 12.379 4.020 90.00 90.00 90.00
Sites, in units of the cell vectors:
Tm  0.133  0.198  0.000
Tm  0.221  0.947  0.500
Tm  0.279  0.447  0.500
Tm  0.367  0.698  0.000
Tm  0.633  0.302  0.000
Tm  0.721  0.553  0.500
Tm  0.779  0.053  0.500
Tm  0.867  0.802  0.000
Hg  0.076  0.668  0.500
Hg  0.424  0.168  0.500
Hg  0.576  0.832  0.500
Hg  0.924  0.332  0.500
Ir  0.000  0.000  0.000
Ir  0.500  0.500  0.000

Its space group is Pbam, No. 55. The formation energy is -0.50 eV per atom. The density of states at the Fermi level comes out at 9.92 states/eV/cell.

Tm5Hg2Ir | GGA-PBE | relaxed

Lattice parameters (Å, degrees): 6.679 6.679 12.556 90.00 90.00 130.42
Sites, in units of the cell vectors:
Tm  0.077  0.923  0.604
Tm  0.077  0.923  0.896
Tm  0.377  0.623  0.568
Tm  0.377  0.623  0.932
Tm  0.389  0.611  0.250
Tm  0.611  0.389  0.750
Tm  0.623  0.377  0.068
Tm  0.623  0.377  0.432
Tm  0.923  0.077  0.104
Tm  0.923  0.077  0.396
Hg  0.179  0.821  0.127
Hg  0.179  0.821  0.373
Hg  0.821  0.179  0.627
Hg  0.821  0.179  0.873
Ir  0.236  0.764  0.750
Ir  0.764  0.236  0.250

Its space group is Cmcm, No. 63. The energy above the most stable polymorph in this dataset is 269.6 meV per atom. The formation energy is -0.28 eV per atom. The density of states at the Fermi level comes out at 14.81 states/eV/cell.

Tm7Hg2Ir2 | GGA-PBE | relaxed

Lattice parameters (Å, degrees): 6.683 6.683 7.013 90.00 90.00 105.79
Sites, in units of the cell vectors:
Tm  0.000  0.000  0.000
Tm  0.000  0.500  0.250
Tm  0.000  0.500  0.750
Tm  0.500  0.000  0.250
Tm  0.500  0.000  0.750
Tm  0.500  0.500  0.243
Tm  0.500  0.500  0.757
Hg  0.187  0.187  0.500
Hg  0.813  0.813  0.500
Ir  0.286  0.714  0.000
Ir  0.714  0.286  0.000

Its space group is Cmmm, No. 65. The formation energy is -0.49 eV per atom. The density of states at the Fermi level comes out at 9.23 states/eV/cell.

Tm5Hg4Ir | GGA-PBE | relaxed

Lattice parameters (Å, degrees): 3.562 3.562 18.613 90.00 90.00 90.00
Sites, in units of the cell vectors:
Tm  0.000  0.000  0.000
Tm  0.000  0.000  0.205
Tm  0.000  0.000  0.415
Tm  0.000  0.000  0.585
Tm  0.000  0.000  0.795
Hg  0.500  0.500  0.102
Hg  0.500  0.500  0.306
Hg  0.500  0.500  0.694
Hg  0.500  0.500  0.898
Ir  0.500  0.500  0.500

Its space group is P4/mmm, No. 123. The formation energy is -0.58 eV per atom. The density of states at the Fermi level comes out at 4.89 states/eV/cell.

Copy entry 2 word for word.
Tm5Hg2Ir | GGA-PBE | relaxed

Lattice parameters (Å, degrees): 6.679 6.679 12.556 90.00 90.00 130.42
Sites, in units of the cell vectors:
Tm  0.077  0.923  0.604
Tm  0.077  0.923  0.896
Tm  0.377  0.623  0.568
Tm  0.377  0.623  0.932
Tm  0.389  0.611  0.250
Tm  0.611  0.389  0.750
Tm  0.623  0.377  0.068
Tm  0.623  0.377  0.432
Tm  0.923  0.077  0.104
Tm  0.923  0.077  0.396
Hg  0.179  0.821  0.127
Hg  0.179  0.821  0.373
Hg  0.821  0.179  0.627
Hg  0.821  0.179  0.873
Ir  0.236  0.764  0.750
Ir  0.764  0.236  0.250

Its space group is Cmcm, No. 63. The energy above the most stable polymorph in this dataset is 269.6 meV per atom. The formation energy is -0.28 eV per atom. The density of states at the Fermi level comes out at 14.81 states/eV/cell.